! Na4AcPr (GGA-PBE, optimized geometry); values from VASP
! - ΔH_f (0 K) (eV/atom) = 0.213
&SYSTEM
  ibrav = 0, nat = 6, ntyp = 3
/
ATOMIC_SPECIES
Na 22.99 Na.upf
Ac 227.00 Ac.upf
Pr 140.91 Pr.upf
CELL_PARAMETERS angstrom
6.7472 0.0000 0.0000
3.3736 5.8433 0.0000
3.3736 1.9478 5.5091
ATOMIC_POSITIONS crystal
Na 0.6256 0.6256 0.6256
Na 0.1231 0.6256 0.6256
Ac 0.2500 0.2500 0.2500
Na 0.6256 0.1231 0.6256
Pr 0.0000 0.0000 0.0000
Na 0.6256 0.6256 0.1231

! La2ThBi2Te2 (GGA-PBE, optimized geometry); values from VASP
! - formation energy (no corrections) (meV per atom) = -738
&SYSTEM
  ibrav = 0, nat = 7, ntyp = 4
/
ATOMIC_SPECIES
La 138.91 La.upf
Te 127.60 Te.upf
Bi 208.98 Bi.upf
Th 232.04 Th.upf
CELL_PARAMETERS angstrom
6.1082 0.0000 0.0000
0.0000 6.1082 0.0000
-3.0541 -3.0541 7.9558
ATOMIC_POSITIONS crystal
La 0.3820 0.3820 0.7640
La 0.6180 0.6180 0.2360
Te 0.8064 0.8064 0.6127
Bi 0.5000 0.0000 0.0000
Bi 0.0000 0.5000 0.0000
Th 0.0000 0.0000 0.0000
Te 0.1936 0.1936 0.3873

! La3Mg4Rh4 (GGA-PBE, optimized geometry); values from VASP
! - ΔH_f (0 K) (eV/atom) = -0.570
&SYSTEM
  ibrav = 0, nat = 11, ntyp = 3
/
ATOMIC_SPECIES
Rh 102.91 Rh.upf
Mg 24.30 Mg.upf
La 138.91 La.upf
CELL_PARAMETERS angstrom
-0.8405 1.3554 -3.7019
-7.5703 -2.6289 0.7563
2.2187 7.1765 4.3184
ATOMIC_POSITIONS crystal
Rh 0.5000 0.2020 0.0000
Mg 0.6754 0.4877 0.3507
Rh 0.7614 0.2614 0.5227
Mg 0.3246 0.1370 0.6493
La 0.0000 0.5000 0.0000
La 0.8853 0.8853 0.7705
Mg 0.3246 0.5123 0.6493
Rh 0.2386 0.7386 0.4773
Rh 0.5000 0.7980 0.0000
Mg 0.6754 0.8630 0.3507
La 0.1147 0.1147 0.2295

! DyLuMn2 (GGA-PBE, optimized geometry); values from VASP
! - ΔH_f (0 K) (eV/atom) = 0.181
&SYSTEM
  ibrav = 0, nat = 4, ntyp = 3
/
ATOMIC_SPECIES
Lu 174.97 Lu.upf
Mn 54.94 Mn.upf
Dy 162.50 Dy.upf
CELL_PARAMETERS angstrom
-2.1870 -2.4577 -0.7912
3.0555 -1.5630 -3.5907
2.2426 -3.0353 3.2296
ATOMIC_POSITIONS crystal
Lu 0.5000 0.0000 0.0000
Mn 0.0000 0.5000 0.0000
Mn 0.0000 0.0000 0.5000
Dy 0.5000 0.5000 0.5000

! TaSbAs4 (GGA-PBE, optimized geometry); values from VASP
! - formation energy (no corrections) (meV per atom) = 627
&SYSTEM
  ibrav = 0, nat = 6, ntyp = 3
/
ATOMIC_SPECIES
As 74.92 As.upf
Ta 180.95 Ta.upf
Sb 121.76 Sb.upf
CELL_PARAMETERS angstrom
1.7956 -5.1514 0.9754
-3.2323 -3.5945 2.7101
-2.2575 -4.2796 -2.7022
ATOMIC_POSITIONS crystal
As 0.3737 0.3737 0.8788
As 0.8788 0.3737 0.3737
Ta 0.0000 0.0000 0.0000
As 0.3737 0.3737 0.3737
As 0.3737 0.8788 0.3737
Sb 0.7500 0.7500 0.7500

! Be2TlSe (GGA-PBE, optimized geometry); values from VASP
! - E above lowest polymorph (meV/atom) = 197.3
! - formation energy (no corrections) (meV per atom) = 238
&SYSTEM
  ibrav = 0, nat = 4, ntyp = 3
/
ATOMIC_SPECIES
Tl 204.38 Tl.upf
Be 9.01 Be.upf
Se 78.96 Se.upf
CELL_PARAMETERS angstrom
7.7243 -0.0148 -0.0088
6.9416 3.3881 -0.0088
6.9416 1.5967 2.9883
ATOMIC_POSITIONS crystal
Tl 0.7303 0.7303 0.7303
Be 0.2525 0.2525 0.2525
Be 0.9719 0.9719 0.9719
Se 0.5453 0.5453 0.5453

For the records above, the corresponding energy values read -2.15; -5.21; -5.17; -6.68; -5.14; -3.09 eV/atom.